--- w ---
Density functional theory data (PBE-GGA) for an optimized crystal structure of TaNbAu2.

Results
- crystal system = tetragonal
- DOS at the Fermi energy (states/eV/cell) = 7.9
- size of the total moment (μB per atom) = 0.0000

Lattice parameters (Å, degrees): 5.986 5.986 5.986 101.89 101.89 126.02
Atoms (fractional coordinates):
Ta  0.000  0.000  0.000
Ta  0.750  0.250  0.500
Nb  0.250  0.750  0.500
Nb  0.500  0.500  0.000
Au  0.118  0.625  0.993
Au  0.375  0.368  0.493
Au  0.632  0.125  0.007
Au  0.875  0.882  0.507


--- x ---
Density functional theory data (PBE-GGA) for an optimized crystal structure of TaNbAu2.

Results
- crystal system = orthorhombic
- DOS at the Fermi energy (states/eV/cell) = 2.4
- size of the total moment (μB per atom) = 0.0000

Lattice parameters (Å, degrees): 2.856 2.856 8.877 90.00 90.00 95.73
Atoms (fractional coordinates):
Ta  0.000  0.000  0.000
Nb  0.500  0.500  0.746
Au  0.000  0.000  0.501
Au  0.500  0.500  0.240


Which of them is least stable? Easy: w.


--- w ---
Density functional theory data (PBE-GGA) for an optimized crystal structure of TaNbAu3.

Results
- crystal system = hexagonal
- DOS at the Fermi energy (states/eV/cell) = 5.6
- size of the total moment (μB per atom) = 0.0000

Lattice parameters (Å, degrees): 2.930 2.930 24.236 90.00 90.00 120.00
Atoms (fractional coordinates):
Ta  0.333  0.667  0.000
Ta  0.667  0.333  0.500
Nb  0.000  0.000  0.299
Nb  0.000  0.000  0.799
Au  0.000  0.000  0.097
Au  0.000  0.000  0.597
Au  0.333  0.667  0.400
Au  0.333  0.667  0.701
Au  0.667  0.333  0.201
Au  0.667  0.333  0.900


--- x ---
Density functional theory data (PBE-GGA) for an optimized crystal structure of TaNbAu3.

Results
- crystal system = cubic
- DOS at the Fermi energy (states/eV/cell) = 7.2
- size of the total moment (μB per atom) = 0.0002

Lattice parameters (Å, degrees): 4.978 4.978 4.978 90.00 90.00 90.00
Atoms (fractional coordinates):
Ta  0.000  0.000  0.000
Nb  0.500  0.500  0.500
Au  0.000  0.000  0.500
Au  0.000  0.500  0.000
Au  0.500  0.000  0.000


Which of them is least stable? Easy: x.


--- w ---
Density functional theory data (PBE-GGA) for an optimized crystal structure of NbTc2Au.

Results
- crystal system = tetragonal
- DOS at the Fermi energy (states/eV/cell) = 9.5
- size of the total moment (μB per atom) = 0.0000

Lattice parameters (Å, degrees): 9.819 9.819 9.819 157.03 157.03 32.71
Atoms (fractional coordinates):
Nb  0.000  0.000  0.000
Nb  0.750  0.250  0.500
Tc  0.068  0.625  0.943
Tc  0.375  0.318  0.443
Tc  0.682  0.125  0.057
Tc  0.875  0.932  0.557
Au  0.250  0.750  0.500
Au  0.500  0.500  0.000


--- x ---
Density functional theory data (PBE-GGA) for an optimized crystal structure of NbTc2Au.

Results
- crystal system = tetragonal
- DOS at the Fermi energy (states/eV/cell) = 3.5
- size of the total moment (μB per atom) = 0.0000

Lattice parameters (Å, degrees): 4.014 4.014 3.954 90.00 90.00 90.00
Atoms (fractional coordinates):
Nb  0.000  0.000  0.000
Tc  0.000  0.500  0.500
Tc  0.500  0.000  0.500
Au  0.500  0.500  0.000


Which of them is least stable? Easy: w.


--- w ---
Density functional theory data (PBE-GGA) for an optimized crystal structure of NbTcAu.

Results
- crystal system = monoclinic
- DOS at the Fermi energy (states/eV/cell) = 4.4
- size of the total moment (μB per atom) = 0.0000

Lattice parameters (Å, degrees): 5.014 5.014 5.711 108.36 108.36 47.60
Atoms (fractional coordinates):
Nb  0.000  0.000  0.000
Nb  0.693  0.693  0.384
Tc  0.352  0.352  0.705
Tc  0.675  0.675  0.859
Au  0.021  0.021  0.525
Au  0.342  0.342  0.189


--- x ---
Density functional theory data (PBE-GGA) for an optimized crystal structure of NbTcAu.

Results
- crystal system = trigonal
- DOS at the Fermi energy (states/eV/cell) = 3.9
- size of the total moment (μB per atom) = 0.0000

Lattice parameters (Å, degrees): 4.545 4.545 5.736 90.00 90.00 120.00
Atoms (fractional coordinates):
Nb  0.000  0.000  0.000
Nb  0.333  0.667  0.210
Tc  0.333  0.667  0.778
Tc  0.667  0.333  0.801
Au  0.000  0.000  0.515
Au  0.667  0.333  0.297


--- y ---
Density functional theory data (PBE-GGA) for an optimized crystal structure of NbTcAu.

Results
- crystal system = trigonal
- DOS at the Fermi energy (states/eV/cell) = 1.5
- size of the total moment (μB per atom) = 0.0000

Lattice parameters (Å, degrees): 4.539 4.539 5.716 90.00 90.00 120.00
Atoms (fractional coordinates):
Nb  0.000  0.000  0.000
Nb  0.333  0.667  0.348
Tc  0.333  0.667  0.920
Tc  0.667  0.333  0.189
Au  0.000  0.000  0.497
Au  0.667  0.333  0.697


Which of them is least stable? Easy: x.


--- w ---
Density functional theory data (PBE-GGA) for an optimized crystal structure of NbTcAu.

Results
- crystal system = monoclinic
- DOS at the Fermi energy (states/eV/cell) = 4.4
- size of the total moment (μB per atom) = 0.0000

Lattice parameters (Å, degrees): 5.139 5.139 4.598 91.39 91.39 56.92
Atoms (fractional coordinates):
Nb  0.197  0.803  0.500
Nb  0.803  0.197  0.000
Tc  0.185  0.524  0.032
Tc  0.524  0.185  0.532
Au  0.500  0.862  0.015
Au  0.862  0.500  0.515


--- x ---
Density functional theory data (PBE-GGA) for an optimized crystal structure of NbTcAu.

Results
- crystal system = monoclinic
- DOS at the Fermi energy (states/eV/cell) = 3.6
- size of the total moment (μB per atom) = 0.0000

Lattice parameters (Å, degrees): 5.038 5.038 7.149 107.15 107.15 36.52
Atoms (fractional coordinates):
Nb  0.000  0.000  0.000
Nb  0.689  0.689  0.325
Tc  0.016  0.016  0.438
Tc  0.344  0.344  0.146
Au  0.358  0.358  0.652
Au  0.668  0.668  0.804


Which of them is least stable? Easy: x.